First-principles (PBE) data for an optimized crystal structure of CuAs3Ru, as listed in Alexandria.

```
data_CuAs3Ru
_chemical_formula_sum 'Cu1 As3 Ru1'
_symmetry_space_group_name_H-M 'P 1'
_symmetry_Int_Tables_number 1
_symmetry_space_group_name_Hall 'P 1'
_cell_length_a 4.7722
_cell_length_b 4.7722
_cell_length_c 4.7722
_cell_angle_alpha 90.00
_cell_angle_beta 90.00
_cell_angle_gamma 90.00
loop_
_atom_site_label
_atom_site_type_symbol
_atom_site_fract_x
_atom_site_fract_y
_atom_site_fract_z
Cu1 Cu 0.0000 0.0000 0.0000
As1 As 0.0000 0.5000 0.5000
As2 As 0.5000 0.0000 0.5000
As3 As 0.5000 0.5000 0.0000
Ru1 Ru 0.5000 0.5000 0.5000
```

Values from the calculation:
Polymorph energy (0 for the lowest one) ... 0.000 eV/atom
V ... 108.7 Å³ per cell
DOS(E_F) ... 0.12 states/eV/atom
M_tot ... 0.00 μB per formula unit


First-principles (PBE) data for an optimized crystal structure of CuAsRu4, as listed in Alexandria.

```
data_CuAsRu4
_chemical_formula_sum 'Cu1 As1 Ru4'
_symmetry_space_group_name_H-M 'P 1'
_symmetry_Int_Tables_number 1
_symmetry_space_group_name_Hall 'P 1'
_cell_length_a 5.1175
_cell_length_b 5.1175
_cell_length_c 5.1175
_cell_angle_alpha 60.00
_cell_angle_beta 60.00
_cell_angle_gamma 60.00
loop_
_atom_site_label
_atom_site_type_symbol
_atom_site_fract_x
_atom_site_fract_y
_atom_site_fract_z
Cu1 Cu 0.0000 0.0000 0.0000
As1 As 0.2500 0.2500 0.2500
Ru1 Ru 0.1250 0.6250 0.6250
Ru2 Ru 0.6250 0.1250 0.6250
Ru3 Ru 0.6250 0.6250 0.1250
Ru4 Ru 0.6250 0.6250 0.6250
```

Values from the calculation:
V ... 94.8 Å³ per cell
DOS(E_F) ... 1.33 states/eV/atom
M_tot ... 2.71 μB per formula unit


First-principles (PBE) data for an optimized crystal structure of CuAs2Ru2, as listed in Alexandria.

```
data_CuAs2Ru2
_chemical_formula_sum 'Cu2 As4 Ru4'
_symmetry_space_group_name_H-M 'P 1'
_symmetry_Int_Tables_number 1
_symmetry_space_group_name_Hall 'P 1'
_cell_length_a 7.0972
_cell_length_b 7.0972
_cell_length_c 2.9808
_cell_angle_alpha 90.00
_cell_angle_beta 90.00
_cell_angle_gamma 90.00
loop_
_atom_site_label
_atom_site_type_symbol
_atom_site_fract_x
_atom_site_fract_y
_atom_site_fract_z
Cu1 Cu 0.0000 0.0000 0.0000
Cu2 Cu 0.5000 0.5000 0.0000
As1 As 0.1534 0.3466 0.5000
As2 As 0.3466 0.8466 0.5000
As3 As 0.6534 0.1534 0.5000
As4 As 0.8466 0.6534 0.5000
Ru1 Ru 0.1446 0.6446 0.0000
Ru2 Ru 0.3554 0.1446 0.0000
Ru3 Ru 0.6446 0.8554 0.0000
Ru4 Ru 0.8554 0.3554 0.0000
```

Values from the calculation:
Polymorph energy (0 for the lowest one) ... 0.000 eV/atom
V ... 150.1 Å³ per cell
DOS(E_F) ... 0.70 states/eV/atom
M_tot ... 0.00 μB per formula unit


First-principles (PBE) data for an optimized crystal structure of CuAsRu, as listed in Alexandria.

```
data_CuAsRu
_chemical_formula_sum 'Cu2 As2 Ru2'
_symmetry_space_group_name_H-M 'P 1'
_symmetry_Int_Tables_number 1
_symmetry_space_group_name_Hall 'P 1'
_cell_length_a 4.0359
_cell_length_b 4.0359
_cell_length_c 5.6918
_cell_angle_alpha 90.00
_cell_angle_beta 90.00
_cell_angle_gamma 90.00
loop_
_atom_site_label
_atom_site_type_symbol
_atom_site_fract_x
_atom_site_fract_y
_atom_site_fract_z
Cu1 Cu 0.2500 0.2500 0.1726
Cu2 Cu 0.7500 0.7500 0.8274
As1 As 0.2500 0.2500 0.7542
As2 As 0.7500 0.7500 0.2458
Ru1 Ru 0.2500 0.7500 0.5000
Ru2 Ru 0.7500 0.2500 0.5000
```

Values from the calculation:
Polymorph energy (0 for the lowest one) ... 0.000 eV/atom
V ... 92.7 Å³ per cell
DOS(E_F) ... 0.38 states/eV/atom
M_tot ... 0.00 μB per formula unit


First-principles (PBE) data for an optimized crystal structure of CuAs2Ru, as listed in Alexandria.

```
data_CuAs2Ru
_chemical_formula_sum 'Cu2 As4 Ru2'
_symmetry_space_group_name_H-M 'P 1'
_symmetry_Int_Tables_number 1
_symmetry_space_group_name_Hall 'P 1'
_cell_length_a 7.9486
_cell_length_b 3.0874
_cell_length_c 5.0693
_cell_angle_alpha 90.00
_cell_angle_beta 99.59
_cell_angle_gamma 90.00
loop_
_atom_site_label
_atom_site_type_symbol
_atom_site_fract_x
_atom_site_fract_y
_atom_site_fract_z
Cu1 Cu 0.0000 0.0000 0.0000
Cu2 Cu 0.5000 0.5000 0.0000
As1 As 0.2346 0.0000 0.7395
As2 As 0.2654 0.5000 0.2605
As3 As 0.7346 0.5000 0.7395
As4 As 0.7654 0.0000 0.2605
Ru1 Ru 0.0000 0.5000 0.5000
Ru2 Ru 0.5000 0.0000 0.5000
```

Values from the calculation:
Polymorph energy (0 for the lowest one) ... 0.056 eV/atom
V ... 122.7 Å³ per cell
DOS(E_F) ... 0.58 states/eV/atom
M_tot ... 0.00 μB per formula unit


First-principles (PBE) data for an optimized crystal structure of CuAs2Ru, as listed in Alexandria.

```
data_CuAs2Ru
_chemical_formula_sum 'Cu2 As4 Ru2'
_symmetry_space_group_name_H-M 'P 1'
_symmetry_Int_Tables_number 1
_symmetry_space_group_name_Hall 'P 1'
_cell_length_a 2.9958
_cell_length_b 5.1477
_cell_length_c 8.2645
_cell_angle_alpha 90.00
_cell_angle_beta 90.00
_cell_angle_gamma 90.00
loop_
_atom_site_label
_atom_site_type_symbol
_atom_site_fract_x
_atom_site_fract_y
_atom_site_fract_z
Cu1 Cu 0.0000 0.0000 0.0000
Cu2 Cu 0.5000 0.5000 0.0000
As1 As 0.0000 0.5000 0.2552
As2 As 0.0000 0.5000 0.7448
As3 As 0.5000 0.0000 0.2552
As4 As 0.5000 0.0000 0.7448
Ru1 Ru 0.0000 0.0000 0.5000
Ru2 Ru 0.5000 0.5000 0.5000
```

Values from the calculation:
Polymorph energy (0 for the lowest one) ... 0.286 eV/atom
V ... 127.5 Å³ per cell
DOS(E_F) ... 0.80 states/eV/atom
M_tot ... 0.00 μB per formula unit


First-principles (PBE) data for an optimized crystal structure of CuAs2Ru, as listed in Alexandria.

```
data_CuAs2Ru
_chemical_formula_sum 'Cu1 As2 Ru1'
_symmetry_space_group_name_H-M 'P 1'
_symmetry_Int_Tables_number 1
_symmetry_space_group_name_Hall 'P 1'
_cell_length_a 2.9591
_cell_length_b 3.6690
_cell_length_c 6.4041
_cell_angle_alpha 90.00
_cell_angle_beta 90.00
_cell_angle_gamma 90.00
loop_
_atom_site_label
_atom_site_type_symbol
_atom_site_fract_x
_atom_site_fract_y
_atom_site_fract_z
Cu1 Cu 0.0000 0.0000 0.0000
As1 As 0.0000 0.0000 0.3953
As2 As 0.5000 0.5000 0.8533
Ru1 Ru 0.5000 0.5000 0.2421
```

Values from the calculation:
Polymorph energy (0 for the lowest one) ... 0.021 eV/atom
V ... 69.5 Å³ per cell
DOS(E_F) ... 0.67 states/eV/atom
M_tot ... 0.00 μB per formula unit


First-principles (PBE) data for an optimized crystal structure of CuAs2Ru, as listed in Alexandria.

```
data_CuAs2Ru
_chemical_formula_sum 'Cu2 As4 Ru2'
_symmetry_space_group_name_H-M 'P 1'
_symmetry_Int_Tables_number 1
_symmetry_space_group_name_Hall 'P 1'
_cell_length_a 3.7505
_cell_length_b 3.7505
_cell_length_c 8.5617
_cell_angle_alpha 90.00
_cell_angle_beta 90.00
_cell_angle_gamma 90.00
loop_
_atom_site_label
_atom_site_type_symbol
_atom_site_fract_x
_atom_site_fract_y
_atom_site_fract_z
Cu1 Cu 0.0000 0.0000 0.0000
Cu2 Cu 0.5000 0.5000 0.5000
As1 As 0.0000 0.0000 0.5000
As2 As 0.0000 0.5000 0.2500
As3 As 0.5000 0.0000 0.7500
As4 As 0.5000 0.5000 0.0000
Ru1 Ru 0.0000 0.5000 0.7500
Ru2 Ru 0.5000 0.0000 0.2500
```

Values from the calculation:
Polymorph energy (0 for the lowest one) ... 0.203 eV/atom
V ... 120.4 Å³ per cell
DOS(E_F) ... 0.54 states/eV/atom
M_tot ... 0.00 μB per formula unit


First-principles (PBE) data for an optimized crystal structure of CuAs2Ru, as listed in Alexandria.

```
data_CuAs2Ru
_chemical_formula_sum 'Cu1 As2 Ru1'
_symmetry_space_group_name_H-M 'P 1'
_symmetry_Int_Tables_number 1
_symmetry_space_group_name_Hall 'P 1'
_cell_length_a 3.1451
_cell_length_b 4.8136
_cell_length_c 4.5472
_cell_angle_alpha 90.00
_cell_angle_beta 106.68
_cell_angle_gamma 90.00
loop_
_atom_site_label
_atom_site_type_symbol
_atom_site_fract_x
_atom_site_fract_y
_atom_site_fract_z
Cu1 Cu 0.0000 0.0000 0.0000
As1 As 0.2844 0.0000 0.5601
As2 As 0.9362 0.5000 0.1854
Ru1 Ru 0.2598 0.5000 0.7661
```

Values from the calculation:
Polymorph energy (0 for the lowest one) ... 0.019 eV/atom
V ... 65.9 Å³ per cell
DOS(E_F) ... 0.38 states/eV/atom
M_tot ... 0.00 μB per formula unit


First-principles (PBE) data for an optimized crystal structure of CuAsRu, as listed in Alexandria.

```
data_CuAsRu
_chemical_formula_sum 'Cu1 As1 Ru1'
_symmetry_space_group_name_H-M 'P 1'
_symmetry_Int_Tables_number 1
_symmetry_space_group_name_Hall 'P 1'
_cell_length_a 4.0825
_cell_length_b 4.0825
_cell_length_c 3.0579
_cell_angle_alpha 90.00
_cell_angle_beta 90.00
_cell_angle_gamma 120.00
loop_
_atom_site_label
_atom_site_type_symbol
_atom_site_fract_x
_atom_site_fract_y
_atom_site_fract_z
Cu1 Cu 0.0000 0.0000 0.0000
As1 As 0.3333 0.6667 0.5823
Ru1 Ru 0.6667 0.3333 0.4906
```

Values from the calculation:
Polymorph energy (0 for the lowest one) ... 0.214 eV/atom
V ... 44.1 Å³ per cell
DOS(E_F) ... 0.62 states/eV/atom
M_tot ... 0.00 μB per formula unit


First-principles (PBE) data for an optimized crystal structure of CuAs2Ru, as listed in Alexandria.

```
data_CuAs2Ru
_chemical_formula_sum 'Cu3 As6 Ru3'
_symmetry_space_group_name_H-M 'P 1'
_symmetry_Int_Tables_number 1
_symmetry_space_group_name_Hall 'P 1'
_cell_length_a 3.0719
_cell_length_b 3.0719
_cell_length_c 22.7287
_cell_angle_alpha 90.00
_cell_angle_beta 90.00
_cell_angle_gamma 120.00
loop_
_atom_site_label
_atom_site_type_symbol
_atom_site_fract_x
_atom_site_fract_y
_atom_site_fract_z
Cu1 Cu 0.0000 0.0000 0.0000
Cu2 Cu 0.3333 0.6667 0.6667
Cu3 Cu 0.6667 0.3333 0.3333
As1 As 0.0000 0.0000 0.2480
As2 As 0.0000 0.0000 0.7520
As3 As 0.3333 0.6667 0.4186
As4 As 0.3333 0.6667 0.9147
As5 As 0.6667 0.3333 0.0853
As6 As 0.6667 0.3333 0.5814
Ru1 Ru 0.0000 0.0000 0.5000
Ru2 Ru 0.3333 0.6667 0.1667
Ru3 Ru 0.6667 0.3333 0.8333
```

Values from the calculation:
Polymorph energy (0 for the lowest one) ... 0.000 eV/atom
V ... 185.7 Å³ per cell
DOS(E_F) ... 0.51 states/eV/atom
M_tot ... 0.00 μB per formula unit


First-principles (PBE) data for an optimized crystal structure of CuAs2Ru, as listed in Alexandria.

```
data_CuAs2Ru
_chemical_formula_sum 'Cu4 As8 Ru4'
_symmetry_space_group_name_H-M 'P 1'
_symmetry_Int_Tables_number 1
_symmetry_space_group_name_Hall 'P 1'
_cell_length_a 5.6528
_cell_length_b 5.6528
_cell_length_c 10.4203
_cell_angle_alpha 90.00
_cell_angle_beta 90.00
_cell_angle_gamma 90.00
loop_
_atom_site_label
_atom_site_type_symbol
_atom_site_fract_x
_atom_site_fract_y
_atom_site_fract_z
Cu1 Cu 0.0000 0.0000 0.0000
Cu2 Cu 0.0000 0.5000 0.2500
Cu3 Cu 0.5000 0.0000 0.7500
Cu4 Cu 0.5000 0.5000 0.5000
As1 As 0.2426 0.2500 0.6250
As2 As 0.2500 0.7426 0.8750
As3 As 0.2500 0.7574 0.3750
As4 As 0.2574 0.2500 0.1250
As5 As 0.7426 0.7500 0.1250
As6 As 0.7500 0.2426 0.3750
As7 As 0.7500 0.2574 0.8750
As8 As 0.7574 0.7500 0.6250
Ru1 Ru 0.0000 0.0000 0.5000
Ru2 Ru 0.0000 0.5000 0.7500
Ru3 Ru 0.5000 0.0000 0.2500
Ru4 Ru 0.5000 0.5000 0.0000
```

Values from the calculation:
Polymorph energy (0 for the lowest one) ... 0.143 eV/atom
V ... 333.0 Å³ per cell
DOS(E_F) ... 0.53 states/eV/atom
M_tot ... 0.00 μB per formula unit


Number 1: formation enthalpy at 0 K 0.726 eV per atom. Number 2: formation enthalpy at 0 K 0.734 eV per atom. Number 3: formation enthalpy at 0 K 0.027 eV per atom. Number 4: formation enthalpy at 0 K -0.123 eV per atom. Number 5: formation enthalpy at 0 K 0.079 eV per atom. Number 6: formation enthalpy at 0 K 0.309 eV per atom. Number 7: formation enthalpy at 0 K 0.044 eV per atom. Number 8: formation enthalpy at 0 K 0.226 eV per atom. Number 9: formation enthalpy at 0 K 0.043 eV per atom. Number 10: formation enthalpy at 0 K 0.091 eV per atom. Number 11: formation enthalpy at 0 K 0.023 eV per atom. Number 12: formation enthalpy at 0 K 0.166 eV per atom.